Entry 1:
DFT (PBE) results for a relaxed structure of ReSeS2Cl.

abc: 4.9097 4.9097 4.7255
angles: 90.00 90.00 90.00
Each line ends with the local moment (μB).
Positions (direct):
Re1 0.5000 0.5000 0.5000  4.10
Se1 0.0000 0.0000 0.0000  -0.01
S1 0.0000 0.5000 0.0000  0.00
S2 0.5000 0.0000 0.0000  0.00
Cl1 0.0000 0.0000 0.5000  0.06

Symmetry: P4/mmm, No. 123
Formation energy without anion corrections in eV per atom: 1.38
ρ in g cm⁻³: 5.32


Entry 2:
DFT (PBE) results for a relaxed structure of Li2GeRuN.

abc: 4.0366 4.0366 3.8050
angles: 90.00 90.00 90.00
Positions (direct):
Ru1 0.0000 0.0000 0.5000
Ge1 0.5000 0.5000 0.5000
Li1 0.0000 0.5000 0.0000
Li2 0.5000 0.0000 0.0000
N1 0.0000 0.0000 0.0000

Symmetry: P4/mmm, No. 123
Formation energy without anion corrections in eV per atom: -0.27
ρ in g cm⁻³: 5.40


- Among the records above, which one has the highest ρ?
  Li2GeRuN